Record 1
This record from Alexandria describes a relaxed structure of LiEr2Mg3. The functional is PBE.

The structure belongs to space group P4/mmm (No. 123); the cell edges are 3.625, 3.625 and 11.367 Å and the angles 90.00°, 90.00° and 90.00°. The inequivalent atoms are Li at (0.000, 0.000, 0.000), Er at (0.000, 0.000, 0.332), Mg at (0.500, 0.500, 0.145) and Mg at (0.500, 0.500, 0.500).

The magnetization comes out at 0.0 μB per cell. The value obtained for the density of states at the Fermi level is 6.0 states/eV/f.u. For the total energy, the calculation gives -0.0989 Ha/atom.

---

Record 2
This record from Alexandria describes a relaxed structure of LiPrAgGe2. The functional is PBE.

The structure belongs to space group I-4m2 (No. 119); the cell edges are 4.244, 4.244 and 11.188 Å and the angles 90.00°, 90.00° and 90.00°. The inequivalent atoms are Li at (0.000, 0.000, 0.000), Pr at (0.000, 0.500, 0.750), Ag at (0.000, 0.000, 0.500) and Ge at (0.000, 0.500, 0.139).

The magnetization comes out at 0.0 μB per cell. The value obtained for the density of states at the Fermi level is 1.6 states/eV/f.u. For the total energy, the calculation gives -0.1584 Ha/atom.

---

Record 3
This record from Alexandria describes a relaxed structure of SrSmTm2S4. The functional is PBE.

The structure belongs to space group P2/m (No. 10); the cell edges are 6.887, 3.945 and 6.926 Å and the angles 90.00°, 108.96° and 90.00°. The inequivalent atoms are Sr at (0.000, 0.000, 0.000), Sm at (0.500, 0.500, 0.000), Tm at (0.000, 0.500, 0.500), Tm at (0.500, 0.000, 0.500), S at (0.247, 0.000, 0.731) and S at (0.261, 0.500, 0.272).

The magnetization comes out at 0.0 μB per cell. The energy relative to the elements, uncorrected comes out at -1981 meV per atom. The value obtained for the density of states at the Fermi level is 2.8 states/eV/f.u. For the total energy, the calculation gives -0.2191 Ha/atom.

---

Record 4
This record from Alexandria describes a relaxed structure of LaWAu2. The functional is PBE.

The structure belongs to space group R3m (No. 160, hexagonal axes); the cell edges are 3.0399, 3.0399 and 30.5678 Å and the angles 90.00°, 90.00° and 120.00°. The inequivalent atoms are La at (0.0000, 0.0000, 0.0000), W at (0.0000, 0.0000, 0.7596), Au at (0.0000, 0.0000, 0.2418) and Au at (0.0000, 0.0000, 0.4980).

The magnetization comes out at 1.6 μB per cell. The value obtained for the density of states at the Fermi level is 3.8 states/eV/f.u. The energy above the most stable polymorph in this dataset comes out at 1.17 eV/f.u. For the total energy, the calculation gives -0.2088 Ha/atom.

---

Record 5
This record from Alexandria describes a relaxed structure of BeCdHg2. The functional is PBE.

The structure belongs to space group I-42d (No. 122); the cell edges are 4.445, 4.445 and 18.071 Å and the angles 90.00°, 90.00° and 90.00°. The inequivalent atoms are Be at (0.000, 0.000, 0.000), Cd at (0.000, 0.000, 0.500) and Hg at (0.210, 0.250, 0.125).

The magnetization comes out at 0.0 μB per cell. The value obtained for the density of states at the Fermi level is 1.3 states/eV/f.u. The energy above the most stable polymorph in this dataset comes out at 0.70 eV/f.u. For the total energy, the calculation gives -0.0333 Ha/atom.

---

Record 6
This record from Alexandria describes a relaxed structure of SnAuI2. The functional is PBE.

The structure belongs to space group I-42d (No. 122); the cell edges are 8.175, 8.175 and 7.996 Å and the angles 90.00°, 90.00° and 90.00°. The inequivalent atoms are Sn at (0.000, 0.000, 0.000), Au at (0.000, 0.000, 0.500) and I at (0.225, 0.250, 0.625).

The magnetization comes out at 0.0 μB per cell. The energy relative to the elements, uncorrected comes out at 127 meV per atom. The value obtained for the density of states at the Fermi level is 4.2 states/eV/f.u. The energy above the most stable polymorph in this dataset comes out at 0.00 eV/f.u. For the total energy, the calculation gives -0.0907 Ha/atom.